1.
Computed, not measured: an optimized crystal structure of Li6Hg at the GGA-PBE level of DFT.

Calculated values
formation enthalpy at 0 K = 452 meV/atom
distance to the lowest polymorph of the same formula = 606 meV per atom

abc: 5.8393 5.8393 5.8393
angles: 109.47 109.47 109.47
Fractional positions:
Li: 0.2500 0.7500 0.5000
Li: 0.5000 0.7500 0.2500
Li: 0.2500 0.5000 0.7500
Li: 0.7500 0.2500 0.5000
Li: 0.5000 0.2500 0.7500
Li: 0.7500 0.5000 0.2500
Hg: 0.0000 0.0000 0.0000

***

2.
Computed, not measured: an optimized crystal structure of TlPI2O at the GGA-PBE level of DFT.

Calculated values
distance to the lowest polymorph of the same formula = 955 meV per atom
ΔE_f (raw) = 3.0 eV per formula unit

abc: 6.1759 6.1759 4.0834
angles: 90.00 90.00 90.00
Fractional positions:
I: 0.0000 0.5000 0.0000
I: 0.5000 0.0000 0.0000
P: 0.5000 0.5000 0.5000
Tl: 0.0000 0.0000 0.0000
O: 0.0000 0.0000 0.5000

***

3.
Computed, not measured: an optimized crystal structure of Mg2GaSn at the GGA-PBE level of DFT.

Calculated values
formation enthalpy at 0 K = -104 meV/atom

abc: 3.5574 3.5574 6.9462
angles: 90.00 90.00 90.00
Fractional positions:
Mg: 0.0000 0.0000 0.7739
Mg: 0.0000 0.0000 0.2261
Sn: 0.5000 0.5000 0.5000
Ga: 0.5000 0.5000 0.0000

***

4.
Computed, not measured: an optimized crystal structure of KY2As at the GGA-PBE level of DFT.

Calculated values
formation enthalpy at 0 K = -323 meV/atom

abc: 6.8900 6.8900 7.0185
angles: 56.86 56.86 31.66
Fractional positions:
As: 0.4471 0.4471 0.7286
K: 0.1869 0.1869 0.2606
Y: 0.0263 0.0263 0.9129
Y: 0.8398 0.8398 0.5979